# Tl6Sb2Au PBE optimized geometry
data_Tl6Sb2Au
_cell_length_a 11.5071
_cell_length_b 11.5071
_cell_length_c 11.5071
_cell_angle_alpha 27.21
_cell_angle_beta 27.21
_cell_angle_gamma 27.21
_symmetry_space_group_name_H-M 'P 1'
_symmetry_Int_Tables_number 1
loop_
_symmetry_equiv_pos_as_xyz
'x,y,z'
loop_
_atom_site_label
_atom_site_fract_x
_atom_site_fract_y
_atom_site_fract_z
_atom_site_occupancy
Tl1 0.0574 0.0574 0.0574 1
Tl2 0.1967 0.1967 0.1967 1
Tl3 0.3122 0.3122 0.3122 1
Tl4 0.6878 0.6878 0.6878 1
Tl5 0.8033 0.8033 0.8033 1
Tl6 0.9426 0.9426 0.9426 1
Sb1 0.4188 0.4188 0.4188 1
Sb2 0.5812 0.5812 0.5812 1
Au1 0.5000 0.5000 0.5000 1
# SG   R-3m (166)
# Uncorrected formation energy   -17.4 meV/atom
# E_tot   -2.875 eV/atom
# N(E_F)   3.4 states/eV/f.u.

---

# TcMo2Rh9 PBE optimized geometry
data_TcMo2Rh9
_cell_length_a 4.7368
_cell_length_b 6.1033
_cell_length_c 6.1216
_cell_angle_alpha 84.34
_cell_angle_beta 82.56
_cell_angle_gamma 82.53
_symmetry_space_group_name_H-M 'P 1'
_symmetry_Int_Tables_number 1
loop_
_symmetry_equiv_pos_as_xyz
'x,y,z'
loop_
_atom_site_label
_atom_site_fract_x
_atom_site_fract_y
_atom_site_fract_z
_atom_site_occupancy
Tc1 0.0000 0.0000 0.0000 1
Mo1 0.2487 0.5922 0.9072 1
Mo2 0.7513 0.4078 0.0928 1
Rh1 0.0014 0.3308 0.6753 1
Rh2 0.2495 0.9185 0.5862 1
Rh3 0.2495 0.2573 0.2409 1
Rh4 0.4986 0.1691 0.8353 1
Rh5 0.5000 0.5000 0.5000 1
Rh6 0.5014 0.8309 0.1647 1
Rh7 0.7505 0.7427 0.7591 1
Rh8 0.7505 0.0815 0.4138 1
Rh9 0.9986 0.6692 0.3247 1
# SG   P-1 (2)
# E_tot   -8.288 eV/atom
# Formation energy   -105.4 meV per atom
# N(E_F)   13.1 states/eV/f.u.

---

# Li3H4Pd2 PBE optimized geometry
data_Li3H4Pd2
_cell_length_a 4.9961
_cell_length_b 4.9961
_cell_length_c 6.8698
_cell_angle_alpha 122.98
_cell_angle_beta 122.98
_cell_angle_gamma 37.16
_symmetry_space_group_name_H-M 'P 1'
_symmetry_Int_Tables_number 1
loop_
_symmetry_equiv_pos_as_xyz
'x,y,z'
loop_
_atom_site_label
_atom_site_fract_x
_atom_site_fract_y
_atom_site_fract_z
_atom_site_occupancy
Li1 0.0000 0.0000 0.0000 1
Li2 0.1742 0.1742 0.7587 1
Li3 0.8258 0.8258 0.2413 1
H1 0.1946 0.1946 0.3486 1
H2 0.3892 0.3892 0.1113 1
H3 0.6108 0.6108 0.8887 1
H4 0.8054 0.8054 0.6514 1
Pd1 0.4063 0.4063 0.6293 1
Pd2 0.5937 0.5937 0.3707 1
# SG   C2/m (12)
# E_tot   -3.664 eV/atom
# N(E_F)   0.9 states/eV/f.u.

---

What did the first record say?
# Tl6Sb2Au PBE optimized geometry
data_Tl6Sb2Au
_cell_length_a 11.5071
_cell_length_b 11.5071
_cell_length_c 11.5071
_cell_angle_alpha 27.21
_cell_angle_beta 27.21
_cell_angle_gamma 27.21
_symmetry_space_group_name_H-M 'P 1'
_symmetry_Int_Tables_number 1
loop_
_symmetry_equiv_pos_as_xyz
'x,y,z'
loop_
_atom_site_label
_atom_site_fract_x
_atom_site_fract_y
_atom_site_fract_z
_atom_site_occupancy
Tl1 0.0574 0.0574 0.0574 1
Tl2 0.1967 0.1967 0.1967 1
Tl3 0.3122 0.3122 0.3122 1
Tl4 0.6878 0.6878 0.6878 1
Tl5 0.8033 0.8033 0.8033 1
Tl6 0.9426 0.9426 0.9426 1
Sb1 0.4188 0.4188 0.4188 1
Sb2 0.5812 0.5812 0.5812 1
Au1 0.5000 0.5000 0.5000 1
# SG   R-3m (166)
# Uncorrected formation energy   -17.4 meV/atom
# E_tot   -2.875 eV/atom
# N(E_F)   3.4 states/eV/f.u.